# RbRh2Pb2

A relaxed structure of RbRh2Pb2 (GGA-PBEsol, Alexandria).

Cell and atoms, written as CIF:
```
data_RbRh2Pb2
_chemical_formula_sum 'Rb2 Rh4 Pb4'
_space_group_name_H-M_alt 'I 4/m m m'
_space_group_IT_number 139
_space_group_name_Hall '-I 4 2'
_cell_length_a 4.381
_cell_length_b 4.381
_cell_length_c 13.133
_cell_angle_alpha 90.00
_cell_angle_beta 90.00
_cell_angle_gamma 90.00
loop_
_atom_site_label
_atom_site_type_symbol
_atom_site_fract_x
_atom_site_fract_y
_atom_site_fract_z
Rb1 Rb 0.000 0.000 0.000
Rh1 Rh 0.000 0.500 0.250
Pb1 Pb 0.000 0.000 0.364
```

Values from the calculation:
energy of formation	2.1	kJ/mol of atoms
volume	25.21	Å³ per atom



# MnAuO2

A relaxed structure of MnAuO2 (GGA-PBEsol, Alexandria).

Cell and atoms, written as CIF:
```
data_MnAuO2
_chemical_formula_sum 'Mn3 Au3 O6'
_space_group_name_H-M_alt 'R -3 m'
_space_group_IT_number 166
_space_group_name_Hall '-R 3 2"'
_cell_length_a 3.0385
_cell_length_b 3.0385
_cell_length_c 18.2342
_cell_angle_alpha 90.00
_cell_angle_beta 90.00
_cell_angle_gamma 120.00
loop_
_atom_site_label
_atom_site_type_symbol
_atom_site_fract_x
_atom_site_fract_y
_atom_site_fract_z
Mn1 Mn 0.0000 0.0000 0.0000
Au1 Au 0.0000 0.0000 0.5000
O1 O 0.0000 0.0000 0.3873
```

Values from the calculation:
calculated total energy	-0.517	Ry/atom
volume	12.15	Å³ per atom



# CsBa3S

A relaxed structure of CsBa3S (GGA-PBEsol, Alexandria).

Cell and atoms, written as CIF:
```
data_CsBa3S
_chemical_formula_sum 'Cs1 Ba3 S1'
_space_group_name_H-M_alt 'P m -3 m'
_space_group_IT_number 221
_space_group_name_Hall '-P 4 2 3'
_cell_length_a 6.353
_cell_length_b 6.353
_cell_length_c 6.353
_cell_angle_alpha 90.00
_cell_angle_beta 90.00
_cell_angle_gamma 90.00
loop_
_atom_site_label
_atom_site_type_symbol
_atom_site_fract_x
_atom_site_fract_y
_atom_site_fract_z
Cs1 Cs 0.000 0.000 0.000
Ba1 Ba 0.000 0.500 0.500
S1 S 0.500 0.500 0.500
```

Values from the calculation:
calculated total energy	-0.219	Ry/atom
volume	51.27	Å³ per atom



# Zn2FeMo

A relaxed structure of Zn2FeMo (GGA-PBEsol, Alexandria).

Cell and atoms, written as CIF:
```
data_Zn2FeMo
_chemical_formula_sum 'Zn2 Fe1 Mo1'
_space_group_name_H-M_alt 'P 4 m m'
_space_group_IT_number 99
_cell_length_a 2.858
_cell_length_b 2.858
_cell_length_c 6.405
_cell_angle_alpha 90.00
_cell_angle_beta 90.00
_cell_angle_gamma 90.00
loop_
_space_group_symop_operation_xyz
'x,y,z'
'-y,x,z'
'-x,-y,z'
'y,-x,z'
'-x,y,z'
'y,x,z'
'x,-y,z'
'-y,-x,z'
loop_
_atom_site_label
_atom_site_type_symbol
_atom_site_fract_x
_atom_site_fract_y
_atom_site_fract_z
Zn1 Zn 0.000 0.000 0.000
Zn2 Zn 0.500 0.500 0.256
Fe1 Fe 0.000 0.000 0.496
Mo1 Mo 0.500 0.500 0.707
```

Values from the calculation:
energy of formation	2.9	kJ/mol of atoms
energy above the most stable polymorph in this dataset	0	meV/atom
volume	13.08	Å³ per atom



# SnPtS2Cl

A relaxed structure of SnPtS2Cl (GGA-PBEsol, Alexandria).

Cell and atoms, written as CIF:
```
data_SnPtS2Cl
_chemical_formula_sum 'Sn1 Pt1 S2 Cl1'
_space_group_name_H-M_alt 'P 4/m m m'
_space_group_IT_number 123
_space_group_name_Hall '-P 4 2'
_cell_length_a 4.704
_cell_length_b 4.704
_cell_length_c 4.726
_cell_angle_alpha 90.00
_cell_angle_beta 90.00
_cell_angle_gamma 90.00
loop_
_atom_site_label
_atom_site_type_symbol
_atom_site_fract_x
_atom_site_fract_y
_atom_site_fract_z
Sn1 Sn 0.000 0.000 0.000
Pt1 Pt 0.500 0.500 0.500
S1 S 0.000 0.500 0.500
Cl1 Cl 0.500 0.500 0.000
```

Values from the calculation:
calculated total energy	-0.326	Ry/atom
volume	20.92	Å³ per atom



# TcNi2Pt

A relaxed structure of TcNi2Pt (GGA-PBEsol, Alexandria).

Cell and atoms, written as CIF:
```
data_TcNi2Pt
_chemical_formula_sum 'Tc2 Ni4 Pt2'
_space_group_name_H-M_alt 'I -4 m 2'
_space_group_IT_number 119
_space_group_name_Hall 'I -4 -2'
_cell_length_a 3.610
_cell_length_b 3.610
_cell_length_c 7.584
_cell_angle_alpha 90.00
_cell_angle_beta 90.00
_cell_angle_gamma 90.00
loop_
_atom_site_label
_atom_site_type_symbol
_atom_site_fract_x
_atom_site_fract_y
_atom_site_fract_z
Tc1 Tc 0.000 0.000 0.000
Ni1 Ni 0.000 0.000 0.500
Ni2 Ni 0.000 0.500 0.750
Pt1 Pt 0.000 0.500 0.250
```

Values from the calculation:
energy of formation	-8.4	kJ/mol of atoms
energy above the most stable polymorph in this dataset	0	meV/atom
volume	12.36	Å³ per atom



# SiMoRu2

A relaxed structure of SiMoRu2 (GGA-PBEsol, Alexandria).

Cell and atoms, written as CIF:
```
data_SiMoRu2
_chemical_formula_sum 'Si1 Mo1 Ru2'
_space_group_name_H-M_alt 'P 4/m m m'
_space_group_IT_number 123
_space_group_name_Hall '-P 4 2'
_cell_length_a 2.848
_cell_length_b 2.848
_cell_length_c 6.527
_cell_angle_alpha 90.00
_cell_angle_beta 90.00
_cell_angle_gamma 90.00
loop_
_atom_site_label
_atom_site_type_symbol
_atom_site_fract_x
_atom_site_fract_y
_atom_site_fract_z
Si1 Si 0.000 0.000 0.000
Mo1 Mo 0.000 0.000 0.500
Ru1 Ru 0.500 0.500 0.220
```

Values from the calculation:
calculated total energy	-0.725	Ry/atom
volume	13.24	Å³ per atom



# CdPtAu2

A relaxed structure of CdPtAu2 (GGA-PBEsol, Alexandria).

Cell and atoms, written as CIF:
```
data_CdPtAu2
_chemical_formula_sum 'Cd1 Pt1 Au2'
_space_group_name_H-M_alt 'P 4/m m m'
_space_group_IT_number 123
_space_group_name_Hall '-P 4 2'
_cell_length_a 4.054
_cell_length_b 4.054
_cell_length_c 4.074
_cell_angle_alpha 90.00
_cell_angle_beta 90.00
_cell_angle_gamma 90.00
loop_
_atom_site_label
_atom_site_type_symbol
_atom_site_fract_x
_atom_site_fract_y
_atom_site_fract_z
Cd1 Cd 0.000 0.000 0.000
Pt1 Pt 0.500 0.500 0.000
Au1 Au 0.000 0.500 0.500
```

Values from the calculation:
energy of formation	-18.1	kJ/mol of atoms
volume	16.74	Å³ per atom



# Y2Ge2Au

A relaxed structure of Y2Ge2Au (GGA-PBEsol, Alexandria).

Cell and atoms, written as CIF:
```
data_Y2Ge2Au
_chemical_formula_sum 'Y4 Ge4 Au2'
_space_group_name_H-M_alt 'P 4/m b m'
_space_group_IT_number 127
_space_group_name_Hall '-P 4 2ab'
_cell_length_a 6.963
_cell_length_b 6.963
_cell_length_c 4.247
_cell_angle_alpha 90.00
_cell_angle_beta 90.00
_cell_angle_gamma 90.00
loop_
_atom_site_label
_atom_site_type_symbol
_atom_site_fract_x
_atom_site_fract_y
_atom_site_fract_z
Y1 Y 0.174 0.326 0.000
Ge1 Ge 0.129 0.629 0.500
Au1 Au 0.000 0.000 0.500
```

Values from the calculation:
energy of formation	-85.5	kJ/mol of atoms
volume	20.59	Å³ per atom



# KRuSe2

A relaxed structure of KRuSe2 (GGA-PBEsol, Alexandria).

Cell and atoms, written as CIF:
```
data_KRuSe2
_chemical_formula_sum 'K4 Ru4 Se8'
_space_group_name_H-M_alt 'F -4 3 m'
_space_group_IT_number 216
_space_group_name_Hall 'F -4 2 3'
_cell_length_a 6.756
_cell_length_b 6.756
_cell_length_c 6.756
_cell_angle_alpha 90.00
_cell_angle_beta 90.00
_cell_angle_gamma 90.00
loop_
_atom_site_label
_atom_site_type_symbol
_atom_site_fract_x
_atom_site_fract_y
_atom_site_fract_z
K1 K 0.000 0.000 0.000
Ru1 Ru 0.250 0.250 0.750
Se1 Se 0.000 0.000 0.500
Se2 Se 0.250 0.250 0.250
```

Values from the calculation:
calculated total energy	-0.292	Ry/atom
volume	19.27	Å³ per atom



# Mo3Au

A relaxed structure of Mo3Au (GGA-PBEsol, Alexandria).

Cell and atoms, written as CIF:
```
data_Mo3Au
_chemical_formula_sum 'Mo6 Au2'
_space_group_name_H-M_alt 'C m m m'
_space_group_IT_number 65
_space_group_name_Hall '-C 2 2'
_cell_length_a 5.579
_cell_length_b 7.988
_cell_length_c 2.788
_cell_angle_alpha 90.00
_cell_angle_beta 90.00
_cell_angle_gamma 90.00
loop_
_atom_site_label
_atom_site_type_symbol
_atom_site_fract_x
_atom_site_fract_y
_atom_site_fract_z
Mo1 Mo 0.000 0.000 0.000
Mo2 Mo 0.250 0.250 0.500
Au1 Au 0.000 0.500 0.000
```

Values from the calculation:
energy of formation	23.9	kJ/mol of atoms
volume	15.53	Å³ per atom



# ScTcAg2

A relaxed structure of ScTcAg2 (GGA-PBEsol, Alexandria).

Cell and atoms, written as CIF:
```
data_ScTcAg2
_chemical_formula_sum 'Sc3 Tc3 Ag6'
_space_group_name_H-M_alt 'R -3 m'
_space_group_IT_number 166
_space_group_name_Hall '-R 3 2"'
_cell_length_a 2.8109
_cell_length_b 2.8109
_cell_length_c 28.9612
_cell_angle_alpha 90.00
_cell_angle_beta 90.00
_cell_angle_gamma 120.00
loop_
_atom_site_label
_atom_site_type_symbol
_atom_site_fract_x
_atom_site_fract_y
_atom_site_fract_z
Sc1 Sc 0.0000 0.0000 0.0000
Tc1 Tc 0.0000 0.0000 0.5000
Ag1 Ag 0.0000 0.0000 0.2474
```

Values from the calculation:
energy of formation	35.1	kJ/mol of atoms
energy above the most stable polymorph in this dataset	125	meV/atom
volume	16.51	Å³ per atom



Question: Among the records above, which one has the lowest volume?
Answer: MnAuO2



Question: Number 2 is which compound?
Answer: MnAuO2